No. 1
This record from Alexandria via LeMat-Bulk describes a geometry-optimized CoRuSe2 structure. The functional is GGA-PBE.

Geometry as CIF:
```
data_CoRuSe2
_cell_length_a 6.6126
_cell_length_b 6.6126
_cell_length_c 6.6126
_cell_angle_alpha 131.90
_cell_angle_beta 131.90
_cell_angle_gamma 70.38
_symmetry_space_group_name_H-M 'P 1'
_symmetry_Int_Tables_number 1
_symmetry_space_group_name_Hall 'P 1'
loop_
_atom_site_label
_atom_site_type_symbol
_atom_site_fract_x
_atom_site_fract_y
_atom_site_fract_z
Co1 Co 0.0000 0.0000 0.0000
Co2 Co 0.7500 0.2500 0.5000
Ru1 Ru 0.2500 0.7500 0.5000
Ru2 Ru 0.5000 0.5000 0.0000
Se1 Se 0.1082 0.6250 0.9832
Se2 Se 0.3750 0.3582 0.4832
Se3 Se 0.6418 0.1250 0.0168
Se4 Se 0.8750 0.8918 0.5168
```

Calculated values
**Raw total energy**: -5.816 eV per atom
**Formation energy from raw total energies**: 0.1 eV/f.u.
**Crystal system**: tetragonal
**Space-group type**: No. 122
**ρ**: 6.727 Mg/m³
**Relative energy among the computed polymorphs**: 0.286 eV per atom

---

No. 2
This record from Alexandria via LeMat-Bulk describes a geometry-optimized Cr3NiIr3 structure. The functional is GGA-PBE.

Geometry as CIF:
```
data_Cr3NiIr3
_cell_length_a 5.8595
_cell_length_b 5.8595
_cell_length_c 5.5278
_cell_angle_alpha 90.01
_cell_angle_beta 90.01
_cell_angle_gamma 88.46
_symmetry_space_group_name_H-M 'P 1'
_symmetry_Int_Tables_number 1
_symmetry_space_group_name_Hall 'P 1'
loop_
_atom_site_label
_atom_site_type_symbol
_atom_site_fract_x
_atom_site_fract_y
_atom_site_fract_z
Cr1 Cr 0.0004 0.4994 0.2710
Cr2 Cr 0.9996 0.5006 0.7290
Cr3 Cr 0.0007 0.0007 0.2834
Cr4 Cr 0.4994 0.0004 0.2710
Cr5 Cr 0.5006 0.9996 0.7290
Cr6 Cr 0.9993 0.9993 0.7166
Ni1 Ni 0.2799 0.2799 0.5008
Ni2 Ni 0.7201 0.7201 0.4992
Ir1 Ir 0.2568 0.2568 0.9994
Ir2 Ir 0.2710 0.7290 0.0000
Ir3 Ir 0.2858 0.7142 0.5000
Ir4 Ir 0.7142 0.2858 0.5000
Ir5 Ir 0.7290 0.2710 0.0000
Ir6 Ir 0.7432 0.7432 0.0006
```

Calculated values
**Raw total energy**: -8.655 eV per atom
**Crystal system**: monoclinic
**Space-group type**: No. 12
**ρ**: 13.853 Mg/m³
**Calculated formation energy**: 92 meV per atom

---

No. 3
This record from Alexandria via LeMat-Bulk describes a geometry-optimized AcAs2Pd7Pb2 structure. The functional is GGA-PBE.

Geometry as CIF:
```
data_AcAs2Pd7Pb2
_cell_length_a 4.7675
_cell_length_b 4.7675
_cell_length_c 11.6252
_cell_angle_alpha 95.42
_cell_angle_beta 95.42
_cell_angle_gamma 96.52
_symmetry_space_group_name_H-M 'P 1'
_symmetry_Int_Tables_number 1
_symmetry_space_group_name_Hall 'P 1'
loop_
_atom_site_label
_atom_site_type_symbol
_atom_site_fract_x
_atom_site_fract_y
_atom_site_fract_z
Ac1 Ac 0.0000 0.0000 0.0000
As1 As 0.3064 0.3064 0.7969
As2 As 0.6936 0.6936 0.2031
Pd1 Pd 0.1728 0.5692 0.2046
Pd2 Pd 0.3823 0.3823 0.5955
Pd3 Pd 0.4308 0.8272 0.7954
Pd4 Pd 0.5000 0.5000 0.0000
Pd5 Pd 0.5692 0.1728 0.2046
Pd6 Pd 0.6177 0.6177 0.4045
Pd7 Pd 0.8272 0.4308 0.7954
Pb1 Pb 0.1447 0.1447 0.3753
Pb2 Pb 0.8553 0.8553 0.6247
```

Calculated values
**Raw total energy**: -5.172 eV per atom
**Crystal system**: monoclinic
**Space-group type**: No. 12
**ρ**: 9.816 Mg/m³
**Calculated formation energy**: -407 meV per atom

---

No. 4
This record from Alexandria via LeMat-Bulk describes a geometry-optimized Ac4NdEr structure. The functional is GGA-PBE.

Geometry as CIF:
```
data_Ac4NdEr
_cell_length_a 8.5471
_cell_length_b 8.5471
_cell_length_c 5.4859
_cell_angle_alpha 90.00
_cell_angle_beta 90.00
_cell_angle_gamma 142.25
_symmetry_space_group_name_H-M 'P 1'
_symmetry_Int_Tables_number 1
_symmetry_space_group_name_Hall 'P 1'
loop_
_atom_site_label
_atom_site_type_symbol
_atom_site_fract_x
_atom_site_fract_y
_atom_site_fract_z
Ac1 Ac 0.1604 0.8396 0.0000
Ac2 Ac 0.3388 0.6612 0.5000
Ac3 Ac 0.6612 0.3388 0.5000
Ac4 Ac 0.8396 0.1604 0.0000
Nd1 Nd 0.5000 0.5000 0.0000
Er1 Er 0.0000 0.0000 0.5000
```

Calculated values
**Raw total energy**: -4.249 eV per atom
**Crystal system**: orthorhombic
**Space-group type**: No. 65
**ρ**: 8.254 Mg/m³
**Calculated formation energy**: 45 meV per atom
**Relative energy among the computed polymorphs**: 0.000 eV per atom

---

No. 5
This record from Alexandria via LeMat-Bulk describes a geometry-optimized CaTaCu2 structure. The functional is GGA-PBE.

Geometry as CIF:
```
data_CaTaCu2
_cell_length_a 4.5449
_cell_length_b 4.5449
_cell_length_c 6.2719
_cell_angle_alpha 98.35
_cell_angle_beta 98.35
_cell_angle_gamma 37.07
_symmetry_space_group_name_H-M 'P 1'
_symmetry_Int_Tables_number 1
_symmetry_space_group_name_Hall 'P 1'
loop_
_atom_site_label
_atom_site_type_symbol
_atom_site_fract_x
_atom_site_fract_y
_atom_site_fract_z
Ca1 Ca 0.0000 0.0000 0.0000
Ta1 Ta 0.5000 0.5000 0.5000
Cu1 Cu 0.2449 0.2449 0.6769
Cu2 Cu 0.7551 0.7551 0.3231
```

Calculated values
**Raw total energy**: -5.151 eV per atom
**Crystal system**: monoclinic
**Space-group type**: No. 12
**ρ**: 7.491 Mg/m³
**Calculated formation energy**: 361 meV per atom
**Relative energy among the computed polymorphs**: 0.204 eV per atom

---

No. 6
This record from Alexandria via LeMat-Bulk describes a geometry-optimized Ho2Ga3Sn2 structure. The functional is GGA-PBE.

Geometry as CIF:
```
data_Ho2Ga3Sn2
_cell_length_a 7.5674
_cell_length_b 7.5674
_cell_length_c 7.5674
_cell_angle_alpha 109.47
_cell_angle_beta 109.47
_cell_angle_gamma 109.47
_symmetry_space_group_name_H-M 'P 1'
_symmetry_Int_Tables_number 1
_symmetry_space_group_name_Hall 'P 1'
loop_
_atom_site_label
_atom_site_type_symbol
_atom_site_fract_x
_atom_site_fract_y
_atom_site_fract_z
Ho1 Ho 0.0000 0.4884 0.5000
Ho2 Ho 0.0116 0.0116 0.0116
Ho3 Ho 0.4884 0.5000 0.0000
Ho4 Ho 0.5000 0.0000 0.4884
Ga1 Ga 0.0058 0.2558 0.7500
Ga2 Ga 0.2442 0.2500 0.4942
Ga3 Ga 0.2500 0.4942 0.2442
Ga4 Ga 0.2558 0.7500 0.0058
Ga5 Ga 0.4942 0.2442 0.2500
Ga6 Ga 0.7500 0.0058 0.2558
Sn1 Sn 0.0000 0.8801 0.5000
Sn2 Sn 0.5000 0.0000 0.8801
Sn3 Sn 0.6199 0.6199 0.6199
Sn4 Sn 0.8801 0.5000 0.0000
```

Calculated values
**Raw total energy**: -4.074 eV per atom
**Crystal system**: cubic
**Space-group type**: No. 199
**ρ**: 7.730 Mg/m³
**Calculated formation energy**: -325 meV per atom

---

No. 7
This record from Alexandria via LeMat-Bulk describes a geometry-optimized SbOs4W structure. The functional is GGA-PBE.

Geometry as CIF:
```
data_SbOs4W
_cell_length_a 5.2054
_cell_length_b 5.2054
_cell_length_c 5.2054
_cell_angle_alpha 60.00
_cell_angle_beta 60.00
_cell_angle_gamma 60.00
_symmetry_space_group_name_H-M 'P 1'
_symmetry_Int_Tables_number 1
_symmetry_space_group_name_Hall 'P 1'
loop_
_atom_site_label
_atom_site_type_symbol
_atom_site_fract_x
_atom_site_fract_y
_atom_site_fract_z
Sb1 Sb 0.0000 0.0000 0.0000
Os1 Os 0.3753 0.3753 0.3753
Os2 Os 0.3753 0.3753 0.8741
Os3 Os 0.3753 0.8741 0.3753
Os4 Os 0.8741 0.3753 0.3753
W1 W 0.7500 0.7500 0.7500
```

Calculated values
**Raw total energy**: -9.482 eV per atom
**Formation energy from raw total energies**: 5.1 eV/f.u.
**Crystal system**: cubic
**Space-group type**: No. 216
**ρ**: 17.757 Mg/m³

---

No. 8
This record from Alexandria via LeMat-Bulk describes a geometry-optimized Ba2DyYO5 structure. The functional is GGA-PBE.

Geometry as CIF:
```
data_Ba2DyYO5
_cell_length_a 7.4506
_cell_length_b 7.4506
_cell_length_c 12.3766
_cell_angle_alpha 90.00
_cell_angle_beta 90.00
_cell_angle_gamma 151.25
_symmetry_space_group_name_H-M 'P 1'
_symmetry_Int_Tables_number 1
_symmetry_space_group_name_Hall 'P 1'
loop_
_atom_site_label
_atom_site_type_symbol
_atom_site_fract_x
_atom_site_fract_y
_atom_site_fract_z
Ba1 Ba 0.0900 0.9100 0.5000
Ba2 Ba 0.1509 0.8491 0.1177
Ba3 Ba 0.8491 0.1509 0.6177
Ba4 Ba 0.9100 0.0900 0.0000
Dy1 Dy 0.4675 0.5325 0.2787
Dy2 Dy 0.5325 0.4675 0.7787
Y1 Y 0.2253 0.7747 0.8484
Y2 Y 0.7747 0.2253 0.3484
O1 O 0.0632 0.9368 0.8638
O2 O 0.2697 0.7303 0.4739
O3 O 0.3071 0.6929 0.2389
O4 O 0.3797 0.6203 0.8286
O5 O 0.4916 0.5084 0.6109
O6 O 0.5084 0.4916 0.1109
O7 O 0.6203 0.3797 0.3286
O8 O 0.6929 0.3071 0.7389
O9 O 0.7303 0.2697 0.9739
O10 O 0.9368 0.0632 0.3638
```

Calculated values
**Raw total energy**: -7.450 eV per atom
**Formation energy from raw total energies**: -27.3 eV/f.u.
**Crystal system**: orthorhombic
**Space-group type**: No. 36
**ρ**: 6.091 Mg/m³

---

No. 9
This record from Alexandria via LeMat-Bulk describes a geometry-optimized PaAl10Ir2 structure. The functional is GGA-PBE.

Geometry as CIF:
```
data_PaAl10Ir2
_cell_length_a 6.8381
_cell_length_b 6.8381
_cell_length_c 9.1767
_cell_angle_alpha 90.00
_cell_angle_beta 90.00
_cell_angle_gamma 97.51
_symmetry_space_group_name_H-M 'P 1'
_symmetry_Int_Tables_number 1
_symmetry_space_group_name_Hall 'P 1'
loop_
_atom_site_label
_atom_site_type_symbol
_atom_site_fract_x
_atom_site_fract_y
_atom_site_fract_z
Pa1 Pa 0.1192 0.8808 0.7500
Pa2 Pa 0.8808 0.1192 0.2500
Al1 Al 0.1389 0.3969 0.7500
Al2 Al 0.1566 0.8434 0.1031
Al3 Al 0.1566 0.8434 0.3969
Al4 Al 0.2137 0.2137 0.0000
Al5 Al 0.2137 0.2137 0.5000
Al6 Al 0.2261 0.4797 0.2500
Al7 Al 0.3801 0.6199 0.5586
Al8 Al 0.3801 0.6199 0.9414
Al9 Al 0.3969 0.1389 0.2500
Al10 Al 0.4797 0.2261 0.7500
Al11 Al 0.5203 0.7739 0.2500
Al12 Al 0.6031 0.8611 0.7500
Al13 Al 0.6199 0.3801 0.0586
Al14 Al 0.6199 0.3801 0.4414
Al15 Al 0.7739 0.5203 0.7500
Al16 Al 0.7863 0.7863 0.0000
Al17 Al 0.7863 0.7863 0.5000
Al18 Al 0.8434 0.1566 0.6031
Al19 Al 0.8434 0.1566 0.8969
Al20 Al 0.8611 0.6031 0.2500
Ir1 Ir 0.0000 0.5000 0.0000
Ir2 Ir 0.0000 0.5000 0.5000
Ir3 Ir 0.5000 0.0000 0.0000
Ir4 Ir 0.5000 0.0000 0.5000
```

Calculated values
**Raw total energy**: -5.460 eV per atom
**Crystal system**: orthorhombic
**Space-group type**: No. 63
**ρ**: 6.911 Mg/m³
**Calculated formation energy**: -488 meV per atom

---

No. 10
This record from Alexandria via LeMat-Bulk describes a geometry-optimized LiHoMg2In4 structure. The functional is GGA-PBE.

Geometry as CIF:
```
data_LiHoMg2In4
_cell_length_a 8.9623
_cell_length_b 8.9623
_cell_length_c 8.9623
_cell_angle_alpha 32.66
_cell_angle_beta 32.66
_cell_angle_gamma 32.66
_symmetry_space_group_name_H-M 'P 1'
_symmetry_Int_Tables_number 1
_symmetry_space_group_name_Hall 'P 1'
loop_
_atom_site_label
_atom_site_type_symbol
_atom_site_fract_x
_atom_site_fract_y
_atom_site_fract_z
Li1 Li 0.0000 0.0000 0.0000
Ho1 Ho 0.5000 0.5000 0.5000
Mg1 Mg 0.2487 0.2487 0.2487
Mg2 Mg 0.7513 0.7513 0.7513
In1 In 0.1170 0.1170 0.1170
In2 In 0.3705 0.3705 0.3705
In3 In 0.6295 0.6295 0.6295
In4 In 0.8830 0.8830 0.8830
```

Calculated values
**Raw total energy**: -2.828 eV per atom
**Crystal system**: trigonal
**Space-group type**: No. 166
**ρ**: 6.052 Mg/m³
**Calculated formation energy**: -249 meV per atom

---

No. 11
This record from Alexandria via LeMat-Bulk describes a geometry-optimized CaAgSe2 structure. The functional is GGA-PBE.

Geometry as CIF:
```
data_CaAgSe2
_cell_length_a 8.5455
_cell_length_b 8.5455
_cell_length_c 8.5455
_cell_angle_alpha 28.57
_cell_angle_beta 28.57
_cell_angle_gamma 28.57
_symmetry_space_group_name_H-M 'P 1'
_symmetry_Int_Tables_number 1
_symmetry_space_group_name_Hall 'P 1'
loop_
_atom_site_label
_atom_site_type_symbol
_atom_site_fract_x
_atom_site_fract_y
_atom_site_fract_z
Ca1 Ca 0.0000 0.0000 0.0000
Ag1 Ag 0.5000 0.5000 0.5000
Se1 Se 0.4005 0.4005 0.4005
Se2 Se 0.5995 0.5995 0.5995
```

Calculated values
**Raw total energy**: -3.674 eV per atom
**Formation energy from raw total energies**: -2.9 eV/f.u.
**Crystal system**: trigonal
**Space-group type**: No. 166
**ρ**: 4.025 Mg/m³

---

No. 12
This record from Alexandria via LeMat-Bulk describes a geometry-optimized SbAsAu structure. The functional is GGA-PBE.

Geometry as CIF:
```
data_SbAsAu
_cell_length_a 3.9760
_cell_length_b 3.9760
_cell_length_c 4.9494
_cell_angle_alpha 90.00
_cell_angle_beta 90.00
_cell_angle_gamma 120.00
_symmetry_space_group_name_H-M 'P 1'
_symmetry_Int_Tables_number 1
_symmetry_space_group_name_Hall 'P 1'
loop_
_atom_site_label
_atom_site_type_symbol
_atom_site_fract_x
_atom_site_fract_y
_atom_site_fract_z
Sb1 Sb 0.0000 0.0000 0.0000
As1 As 0.6667 0.3333 0.3686
Au1 Au 0.3333 0.6667 0.6626
```

Calculated values
**Raw total energy**: -4.008 eV per atom
**Formation energy from raw total energies**: 0.0 eV/f.u.
**Crystal system**: trigonal
**Space-group type**: No. 156
**ρ**: 9.647 Mg/m³
**Relative energy among the computed polymorphs**: 0.039 eV per atom